No. 1
# CeDy2ErP4

A geometry-optimized CeDy2ErP4 structure (PBE, Alexandria).

Cell and atoms, written as POSCAR:
```
CeDy2ErP4
1.0
-1.483 -2.337 -2.911
-0.988 -5.107 4.602
-5.692 3.978 -0.293
P Ce Dy Er
4 1 2 1
Direct
0.500 0.248 0.248
0.000 0.752 0.251
0.000 0.248 0.749
0.500 0.752 0.752
0.500 0.500 0.000
0.500 0.000 0.500
0.000 0.500 0.500
0.000 0.000 0.000
```

Properties
- space-group type = P2/m (10)

=====

No. 2
# NaSrTm2Se4

A geometry-optimized NaSrTm2Se4 structure (PBE, Alexandria).

Cell and atoms, written as POSCAR:
```
NaSrTm2Se4
1.0
4.122 0.000 0.000
0.000 7.436 -0.259
0.000 2.504 6.657
Se Sr Tm Na
4 1 2 1
Direct
0.500 0.227 0.755
0.500 0.773 0.245
0.000 0.772 0.739
0.000 0.228 0.261
0.500 0.500 0.000
0.000 0.000 0.000
0.500 0.000 0.500
0.000 0.500 0.500
```

Properties
- formation energy from raw total energies (eV/atom) = -1.78
- space-group type = P2/m (10)

=====

No. 3
# Sr2LiZn2

A geometry-optimized Sr2LiZn2 structure (PBE, Alexandria).

Cell and atoms, written as POSCAR:
```
Sr2LiZn2
1.0
-7.875 -0.543 2.455
1.575 -7.357 3.425
1.063 2.025 3.859
Sr Li Zn
4 2 4
Direct
0.320 0.180 0.500
0.680 0.820 0.500
0.180 0.680 0.500
0.820 0.320 0.500
0.500 0.500 0.000
0.000 0.000 0.000
0.886 0.614 0.000
0.386 0.886 0.000
0.114 0.386 0.000
0.614 0.114 0.000
```

Properties
- energy relative to the lowest polymorph listed for this composition (meV/atom) = 25
- space-group type = P4/mbm (127)

=====

No. 4
# Ba12Sr3Rh5

A geometry-optimized Ba12Sr3Rh5 structure (PBE, Alexandria).

Cell and atoms, written as POSCAR:
```
Ba12Sr3Rh5
1.0
-1.837 16.157 -6.537
-15.820 -6.959 2.907
8.901 0.775 15.077
Sr Rh Ba
12 20 48
Direct
0.875 0.125 0.250
0.375 0.750 0.625
0.125 0.250 0.875
0.250 0.125 0.375
0.375 0.625 0.250
0.250 0.625 0.875
0.125 0.875 0.750
0.750 0.875 0.625
0.625 0.250 0.375
0.875 0.750 0.125
0.750 0.375 0.125
0.625 0.375 0.750
0.375 0.125 0.750
0.250 0.375 0.625
0.000 0.500 0.500
0.000 0.000 0.000
0.625 0.875 0.250
0.500 0.000 0.000
0.875 0.250 0.625
0.250 0.875 0.125
0.625 0.750 0.875
0.125 0.375 0.250
0.750 0.625 0.375
0.000 0.500 0.000
0.125 0.750 0.375
0.500 0.500 0.000
0.875 0.625 0.750
0.000 0.000 0.500
0.750 0.125 0.875
0.500 0.500 0.500
0.500 0.000 0.500
0.375 0.250 0.125
0.500 0.186 0.094
0.908 0.094 0.594
0.094 0.908 0.094
0.094 0.186 0.500
0.908 0.814 0.814
0.906 0.814 0.500
0.000 0.594 0.186
0.186 0.500 0.594
0.814 0.908 0.314
0.686 0.500 0.594
0.406 0.000 0.814
0.594 0.594 0.408
0.406 0.406 0.092
0.594 0.594 0.908
0.686 0.094 0.000
0.686 0.592 0.186
0.906 0.314 0.500
0.000 0.406 0.314
0.500 0.686 0.094
0.186 0.092 0.686
0.314 0.408 0.814
0.314 0.814 0.408
0.408 0.094 0.594
0.814 0.500 0.406
0.406 0.000 0.314
0.094 0.408 0.094
0.906 0.092 0.906
0.094 0.686 0.500
0.408 0.314 0.314
0.814 0.314 0.908
0.592 0.686 0.686
0.406 0.406 0.592
0.500 0.314 0.906
0.906 0.592 0.906
0.594 0.000 0.186
0.594 0.000 0.686
0.092 0.906 0.406
0.500 0.814 0.906
0.686 0.186 0.592
0.592 0.906 0.406
0.092 0.186 0.186
0.314 0.906 0.000
0.814 0.906 0.000
0.314 0.500 0.406
0.186 0.094 0.000
0.000 0.406 0.814
0.186 0.686 0.092
0.000 0.594 0.686
```

Properties
- space-group type = Ia-3d (230)

=====

No. 5
# TbZnPb2

A geometry-optimized TbZnPb2 structure (PBE, Alexandria).

Cell and atoms, written as POSCAR:
```
TbZnPb2
1.0
-0.057 1.402 4.280
-1.577 -4.271 1.378
4.487 -1.481 0.545
Zn Pb Tb
1 2 1
Direct
0.500 0.000 0.000
0.000 0.500 0.000
0.000 0.000 0.500
0.500 0.500 0.500
```

Properties
- energy relative to the lowest polymorph listed for this composition (meV/atom) = 0
- space-group type = P4/mmm (123)

=====

No. 6
# RbLa2Ru

A geometry-optimized RbLa2Ru structure (PBE, Alexandria).

Cell and atoms, written as POSCAR:
```
RbLa2Ru
1.0
0.000 3.839 3.839
3.839 0.000 3.839
3.839 3.839 0.000
La Rb Ru
2 1 1
Direct
0.750 0.750 0.750
0.250 0.250 0.250
0.000 0.000 0.000
0.500 0.500 0.500
```

Properties
- energy relative to the lowest polymorph listed for this composition (meV/atom) = 386
- space-group type = Fm-3m (225)

=====

No. 7
# Er7Zn2Pt2

A geometry-optimized Er7Zn2Pt2 structure (PBE, Alexandria).

Cell and atoms, written as POSCAR:
```
Er7Zn2Pt2
1.0
6.590 -0.003 -0.807
0.003 7.028 0.003
-1.216 -0.002 6.526
Er Zn Pt
7 2 2
Direct
0.500 0.257 0.500
0.000 0.000 0.000
0.500 0.743 0.500
0.000 0.263 0.500
0.000 0.737 0.500
0.500 0.737 0.000
0.500 0.263 0.000
0.169 0.500 0.169
0.831 0.500 0.831
0.288 0.000 0.712
0.712 0.000 0.288
```

Properties
- space-group type = Cmmm (65)

=====

No. 8
# Sc2ZnAu

A geometry-optimized Sc2ZnAu structure (PBE, Alexandria).

Cell and atoms, written as POSCAR:
```
Sc2ZnAu
1.0
-3.995 3.805 -1.581
-5.427 -0.732 1.716
5.460 0.683 1.631
Sc Au Zn
2 1 1
Direct
0.740 0.240 0.500
0.020 0.020 0.000
0.262 0.762 0.500
0.478 0.478 0.000
```

Properties
- space-group type = Imm2 (44)

=====

No. 9
# Mo11Os4

A geometry-optimized Mo11Os4 structure (PBE, Alexandria).

Cell and atoms, written as POSCAR:
```
Mo11Os4
1.0
-6.484 6.958 1.944
1.695 -1.073 9.497
3.599 3.426 -0.255
Mo Os
22 8
Direct
0.682 0.682 0.751
0.182 0.818 0.749
0.318 0.318 0.249
0.818 0.182 0.749
0.604 0.396 0.000
0.318 0.318 0.751
0.370 0.036 0.500
0.630 0.964 0.500
0.182 0.818 0.251
0.818 0.182 0.251
0.036 0.370 0.500
0.104 0.104 0.500
0.396 0.604 0.000
0.000 0.000 0.000
0.536 0.130 0.000
0.682 0.682 0.249
0.500 0.500 0.500
0.896 0.896 0.500
0.464 0.870 0.000
0.130 0.536 0.000
0.870 0.464 0.000
0.964 0.630 0.500
0.932 0.737 0.000
0.068 0.263 0.000
0.237 0.568 0.500
0.763 0.432 0.500
0.568 0.237 0.500
0.737 0.932 0.000
0.432 0.763 0.500
0.263 0.068 0.000
```

Properties
- space-group type = P4_2/mnm (136)

=====

No. 10
# CuSbCCl2

A geometry-optimized CuSbCCl2 structure (PBE, Alexandria).

Cell and atoms, written as POSCAR:
```
CuSbCCl2
1.0
-2.303 -2.245 -4.127
-1.796 -2.234 2.218
-3.918 3.455 0.307
Sb C Cl Cu
1 1 2 1
Direct
0.500 0.500 0.500
0.000 0.500 0.000
0.500 0.000 0.000
0.000 0.000 0.500
0.000 0.000 0.000
```

Properties
- formation energy from raw total energies (eV/atom) = 0.95
- space-group type = P4/mmm (123)

=====

No. 11
# Si2BI

A geometry-optimized Si2BI structure (PBE, Alexandria).

Cell and atoms, written as POSCAR:
```
Si2BI
1.0
-0.813 2.477 2.398
-3.465 -0.869 -0.276
2.849 -5.243 3.786
B Si I
1 2 1
Direct
0.227 0.753 0.704
0.156 0.182 0.559
0.795 0.821 0.841
0.947 0.472 0.145
```

Properties
- formation energy from raw total energies (eV/atom) = 0.42
- energy relative to the lowest polymorph listed for this composition (meV/atom) = 0
- space-group type = P1 (1)

=====

No. 12
# Mn5AlPt6

A geometry-optimized Mn5AlPt6 structure (PBE, Alexandria).

Cell and atoms, written as POSCAR:
```
Mn5AlPt6
1.0
-1.403 3.857 -0.331
-1.052 -0.978 -6.944
-6.424 -0.054 0.981
Mn Pt Al
5 6 1
Direct
0.000 0.500 0.000
0.667 0.500 0.666
0.333 0.000 0.333
0.667 0.000 0.667
0.333 0.500 0.334
0.166 0.756 0.669
0.500 0.242 0.000
0.834 0.244 0.331
0.834 0.756 0.331
0.500 0.758 0.000
0.166 0.244 0.669
0.000 0.000 0.000
```

Properties
- space-group type = Cmmm (65)

=====

Total DFT energy (no corrections) (eV/atom)
-6.7550 -5.0119 -1.6927 -3.1071 -3.5989 -4.4934 -4.6973 -4.7567 -10.9313 -3.2819 -4.3526 -7.6475
Volume (Å³ per cell)
182.9 206.7 306.6 4143.8 101.9 113.1 295.3 78.3 468.8 99.2 83.9 180.0